# 1
DFT (GGA-PBE) results for a geometry-optimized Mg2Al2ZnAu5 structure.

Cell: 10.754 10.754 3.177 Å, 90.00 90.00 90.00°
Space group P4/mbm (No. 127)
Inequivalent atoms, fractional coordinates:
Mg: 0.158 0.342 0.000 (multiplicity 4)
Al: 0.140 0.640 0.000 (multiplicity 4)
Zn: 0.000 0.000 0.000 (multiplicity 2)
Au: 0.000 0.500 0.500 (multiplicity 2)
Au: 0.118 0.834 0.500 (multiplicity 8)


# 2
DFT (GGA-PBE) results for a geometry-optimized Mg2AlZnAu4 structure.

Cell: 4.5766 4.5766 22.6606 Å, 90.00 90.00 120.00°
Space group R-3m (No. 166, hexagonal axes)
Inequivalent atoms, fractional coordinates:
Mg: 0.0000 0.0000 0.2472 (multiplicity 6)
Al: 0.0000 0.0000 0.0000 (multiplicity 3)
Zn: 0.0000 0.0000 0.5000 (multiplicity 3)
Au: 0.0000 0.0000 0.1227 (multiplicity 6)
Au: 0.0000 0.0000 0.3713 (multiplicity 6)


# 3
DFT (GGA-PBE) results for a geometry-optimized MnAl6Au12 structure.

Cell: 11.9355 11.9355 8.3113 Å, 90.00 90.00 120.00°
Space group R-3 (No. 148, hexagonal axes)
Inequivalent atoms, fractional coordinates:
Mn: 0.0000 0.0000 0.0000 (multiplicity 3)
Al: 0.0636 0.8220 0.5882 (multiplicity 18)
Au: 0.0521 0.8053 0.9265 (multiplicity 18)
Au: 0.0548 0.8563 0.2827 (multiplicity 18)


# 4
DFT (GGA-PBE) results for a geometry-optimized Mn2AlAu2 structure.

Cell: 7.208 7.208 3.343 Å, 90.00 90.00 90.00°
Space group P4/mbm (No. 127)
Inequivalent atoms, fractional coordinates:
Mn: 0.147 0.353 0.000 (multiplicity 4)
Al: 0.000 0.000 0.000 (multiplicity 2)
Au: 0.149 0.649 0.500 (multiplicity 4)

- excess energy over the best structure of this formula in the dataset (eV/atom) = 0.113


# 5
DFT (GGA-PBE) results for a geometry-optimized Mn2AlAu6 structure.

Cell: 8.401 8.401 4.311 Å, 90.00 90.00 90.00°
Space group P4_2/mnm (No. 136)
Inequivalent atoms, fractional coordinates:
Mn: 0.197 0.197 0.000 (multiplicity 4)
Al: 0.000 0.000 0.500 (multiplicity 2)
Au: 0.026 0.322 0.500 (multiplicity 8)
Au: 0.131 0.869 0.000 (multiplicity 4)


# 6
DFT (GGA-PBE) results for a geometry-optimized MnAlAu2 structure.

Cell: 9.258 3.353 4.452 Å, 90.00 105.61 90.00°
Space group Cm (No. 8)
Inequivalent atoms, fractional coordinates:
Mn: 0.000 0.000 0.000 (multiplicity 2)
Al: 0.246 0.000 0.687 (multiplicity 2)
Au: 0.006 0.500 0.511 (multiplicity 2)
Au: 0.244 0.500 0.181 (multiplicity 2)


# 7
DFT (GGA-PBE) results for a geometry-optimized MnAlAu4 structure.

Cell: 7.517 4.302 7.663 Å, 90.00 110.08 90.00°
Space group C2/m (No. 12)
Inequivalent atoms, fractional coordinates:
Mn: 0.000 0.000 0.000 (multiplicity 2)
Al: 0.000 0.500 0.500 (multiplicity 2)
Au: 0.121 0.500 0.864 (multiplicity 4)
Au: 0.126 0.000 0.378 (multiplicity 4)

- excess energy over the best structure of this formula in the dataset (eV/atom) = 0.023


# 8
DFT (GGA-PBE) results for a geometry-optimized Mn3AlAu structure.

Cell: 4.513 4.513 4.513 Å, 90.00 90.00 90.00°
Space group Pm-3m (No. 221)
Inequivalent atoms, fractional coordinates:
Mn: 0.000 0.000 0.500 (multiplicity 3)
Al: 0.000 0.000 0.000 (multiplicity 1)
Au: 0.500 0.500 0.500 (multiplicity 1)


Number 1: calculated density 10.4 Mg/m³, energy of formation from the pure elements -8.29 kcal/mol of atoms, V 367.5 Å³/cell. Number 2: calculated density 11.3 Mg/m³, energy of formation from the pure elements -10.53 kcal/mol of atoms, V 411.0 Å³/cell. Number 3: calculated density 12.5 Mg/m³, energy of formation from the pure elements -6.06 kcal/mol of atoms, V 1025.4 Å³/cell. Number 4: calculated density 10.2 Mg/m³, energy of formation from the pure elements 2.25 kcal/mol of atoms, V 173.7 Å³/cell. Number 5: calculated density 14.4 Mg/m³, energy of formation from the pure elements -3.85 kcal/mol of atoms, V 304.2 Å³/cell. Number 6: calculated density 11.9 Mg/m³, energy of formation from the pure elements -4.13 kcal/mol of atoms, V 133.1 Å³/cell. Number 7: calculated density 12.4 Mg/m³, energy of formation from the pure elements -1.93 kcal/mol of atoms, V 232.8 Å³/cell. Number 8: calculated density 7.0 Mg/m³, energy of formation from the pure elements 21.15 kcal/mol of atoms, V 91.9 Å³/cell.